Entry from the Alexandria database: a relaxed structure of Rb3ZrN (PBEsol).

M_tot: 7.104 μB/cell
SG: Pm-3m (221)

Cell: 6.9677 6.9677 6.9677 Å, 90.00 90.00 90.00°
With the nearest neighbours (Å) after each atom.
Positions (direct):
Rb  0.0000  0.0000  0.5000  2 Zr 3.48
Rb  0.0000  0.5000  0.0000  2 Zr 3.48
Rb  0.5000  0.0000  0.0000  2 Zr 3.48
Zr  0.0000  0.0000  0.0000  6 Rb 3.48
N  0.5000  0.5000  0.5000  12 Rb 4.93

Entry from the Alexandria database: a relaxed structure of Re2N (PBEsol).

M_tot: 0.000 μB/cell
SG: P6_3/mmc (194)

Cell: 2.8356 2.8356 9.8043 Å, 90.00 90.00 120.00°
With the nearest neighbours (Å) after each atom.
Positions (direct):
Re  0.3333  0.6667  0.1061  3 N 2.16
Re  0.3333  0.6667  0.3939  3 N 2.16
Re  0.6667  0.3333  0.6061  3 N 2.16
Re  0.6667  0.3333  0.8939  3 N 2.16
N  0.3333  0.6667  0.7500  6 Re 2.16
N  0.6667  0.3333  0.2500  6 Re 2.16

The calculation returns the following N(E_F) values, one per record and in order: 15.92, 1.77 states/eV per cell.
The calculation returns the following raw total energy values, one per record and in order: -2.150, -11.832 eV/atom.